No. 1
This record from OQMD describes a geometry-optimized BaNiSn2Hg structure. The functional is PBE-GGA.

Structure (CIF):
```
data_BaNiSn2Hg
_chemical_formula_sum 'Ba2 Ni2 Sn4 Hg2'
_cell_length_a 4.8172
_cell_length_b 4.8172
_cell_length_c 11.0952
_cell_angle_alpha 90.00
_cell_angle_beta 90.00
_cell_angle_gamma 90.00
_symmetry_space_group_name_H-M 'P 4/n m m'
_symmetry_Int_Tables_number 129
loop_
_symmetry_equiv_pos_as_xyz
'x,y,z'
'-x,-y,-z'
'-y+1/2,x,z'
'y+1/2,-x,-z'
'-x+1/2,-y+1/2,z'
'x+1/2,y+1/2,-z'
'y,-x+1/2,z'
'-y,x+1/2,-z'
'x+1/2,-y,-z'
'-x+1/2,y,z'
'-y,-x,-z'
'y,x,z'
'-x,y+1/2,-z'
'x,-y+1/2,z'
'y+1/2,x+1/2,-z'
'-y+1/2,-x+1/2,z'
loop_
_atom_site_label
_atom_site_type_symbol
_atom_site_fract_x
_atom_site_fract_y
_atom_site_fract_z
_atom_site_occupancy
Ba1 Ba 0.2500 0.2500 0.2441 1
Ni1 Ni 0.2500 0.2500 0.8973 1
Sn1 Sn 0.2500 0.2500 0.6669 1
Sn2 Sn 0.2500 0.7500 0.0000 1
Hg1 Hg 0.2500 0.7500 0.5000 1
```

=====

No. 2
This record from OQMD describes a geometry-optimized OsPb2W structure. The functional is PBE-GGA.

Structure (CIF):
```
data_OsPb2W
_chemical_formula_sum 'Os4 Pb8 W4'
_cell_length_a 6.8545
_cell_length_b 6.8545
_cell_length_c 6.8545
_cell_angle_alpha 90.00
_cell_angle_beta 90.00
_cell_angle_gamma 90.00
_symmetry_space_group_name_H-M 'F -4 3 m'
_symmetry_Int_Tables_number 216
_symmetry_space_group_name_Hall 'F -4 2 3'
loop_
_atom_site_label
_atom_site_type_symbol
_atom_site_fract_x
_atom_site_fract_y
_atom_site_fract_z
_atom_site_occupancy
Os1 Os 0.0000 0.0000 0.0000 1
Pb1 Pb 0.0000 0.0000 0.5000 1
Pb2 Pb 0.2500 0.2500 0.2500 1
W1 W 0.2500 0.2500 0.7500 1
```

=====

No. 3
This record from OQMD describes a geometry-optimized MgZn2Bi structure. The functional is PBE-GGA.

Structure (CIF):
```
data_MgZn2Bi
_chemical_formula_sum 'Mg4 Zn8 Bi4'
_cell_length_a 7.0449
_cell_length_b 7.0449
_cell_length_c 7.0449
_cell_angle_alpha 90.00
_cell_angle_beta 90.00
_cell_angle_gamma 90.00
_symmetry_space_group_name_H-M 'F -4 3 m'
_symmetry_Int_Tables_number 216
_symmetry_space_group_name_Hall 'F -4 2 3'
loop_
_atom_site_label
_atom_site_type_symbol
_atom_site_fract_x
_atom_site_fract_y
_atom_site_fract_z
_atom_site_occupancy
Mg1 Mg 0.0000 0.0000 0.0000 1
Zn1 Zn 0.0000 0.0000 0.5000 1
Zn2 Zn 0.2500 0.2500 0.2500 1
Bi1 Bi 0.2500 0.2500 0.7500 1
```

=====

VASP energy, record by record: -3.59, -6.68, -1.93 eV per atom